# 1
## TiSbPCl2 (PBE)

Data for a relaxed structure of TiSbPCl2.

Its size of the total moment is 1.845 μB/cell. As for the formation energy from raw total energies: 0.3067 eV per atom. The density of states at the Fermi level is 13.8 states/eV/cell.

Unit cell a=4.598 b=4.598 c=5.708 alpha=90.00 beta=90.00 gamma=90.00
Space group P4/mmm (No. 123)
Symmetry-distinct sites (fractional):
1 Ti 0.000 0.000 0.000
2 Sb 0.500 0.500 0.000
3 P 0.500 0.500 0.500
4 Cl 0.000 0.500 0.500



# 2
## TiSbPCl2 (PBE)

Data for a relaxed structure of TiSbPCl2.

Its size of the total moment is 1.906 μB/cell. As for the formation energy from raw total energies: -0.3319 eV per atom. The density of states at the Fermi level is 3.0 states/eV/cell.

Unit cell a=4.635 b=4.635 c=5.340 alpha=90.00 beta=90.00 gamma=90.00
Space group P4/mmm (No. 123)
Symmetry-distinct sites (fractional):
1 Ti 0.000 0.000 0.000
2 Sb 0.500 0.500 0.500
3 P 0.000 0.000 0.500
4 Cl 0.000 0.500 0.000



# 3
## VSbP2Cl (PBE)

Data for a relaxed structure of VSbP2Cl.

Its size of the total moment is 0.000 μB/cell. As for the formation energy from raw total energies: 0.1920 eV per atom. The density of states at the Fermi level is 4.4 states/eV/cell.

Unit cell a=4.757 b=4.757 c=4.448 alpha=90.00 beta=90.00 gamma=90.00
Space group P4/mmm (No. 123)
Symmetry-distinct sites (fractional):
1 V 0.000 0.000 0.000
2 Sb 0.500 0.500 0.500
3 P 0.000 0.500 0.000
4 Cl 0.000 0.000 0.500